Record 1
Here is an optimized crystal structure of K2AgIrI from Alexandria. Energies are from PBE.

abc: 6.357 6.357 5.063
angles: 90.00 90.00 90.00
Atoms (fractional coordinates):
K (0.000, 0.500, 0.000)
K (0.500, 0.000, 0.000)
Ag (0.000, 0.000, 0.000)
Ir (0.000, 0.000, 0.500)
I (0.500, 0.500, 0.500)

formation energy without anion corrections = 169 kJ/mol of formula units

---

Record 2
Here is an optimized crystal structure of La6AgIr2I3 from Alexandria. Energies are from PBE.

abc: 7.510 7.510 8.631
angles: 98.33 98.33 120.01
Atoms (fractional coordinates):
La (0.079, 0.436, 0.810)
La (0.206, 0.206, 0.189)
La (0.436, 0.079, 0.810)
La (0.564, 0.921, 0.190)
La (0.794, 0.794, 0.811)
La (0.921, 0.564, 0.190)
Ag (0.500, 0.500, 0.000)
Ir (0.167, 0.833, 0.000)
Ir (0.833, 0.167, 0.000)
I (0.000, 0.000, 0.500)
I (0.337, 0.663, 0.500)
I (0.663, 0.337, 0.500)

formation energy without anion corrections = -1102 kJ/mol of formula units

---

Record 3
Here is an optimized crystal structure of AgMo2IrI from Alexandria. Energies are from PBE.

abc: 4.896 4.896 4.828
angles: 90.00 90.00 90.00
Atoms (fractional coordinates):
Ag (0.000, 0.000, 0.000)
Mo (0.000, 0.500, 0.500)
Mo (0.500, 0.000, 0.500)
Ir (0.500, 0.500, 0.000)
I (0.500, 0.500, 0.500)

formation energy without anion corrections = 1001 kJ/mol of formula units

---

Record 4
Here is an optimized crystal structure of AgIrI2N from Alexandria. Energies are from PBE.

abc: 5.656 5.656 3.768
angles: 90.00 90.00 90.00
Atoms (fractional coordinates):
Ag (0.000, 0.000, 0.000)
Ir (0.500, 0.500, 0.500)
I (0.000, 0.500, 0.000)
I (0.500, 0.000, 0.000)
N (0.000, 0.000, 0.500)

formation energy without anion corrections = 889 kJ/mol of formula units
excess energy over the best structure of this formula in the dataset = 1450 meV per atom

---

Record 5
Here is an optimized crystal structure of AgIrI2N from Alexandria. Energies are from PBE.

abc: 5.701 5.701 3.719
angles: 90.00 90.00 90.00
Atoms (fractional coordinates):
Ag (0.000, 0.000, 0.000)
Ir (0.500, 0.500, 0.500)
I (0.000, 0.500, 0.500)
I (0.500, 0.000, 0.500)
N (0.500, 0.500, 0.000)

formation energy without anion corrections = 190 kJ/mol of formula units
excess energy over the best structure of this formula in the dataset = 0 meV per atom

---

Record 6
Here is an optimized crystal structure of NbAgIrI2 from Alexandria. Energies are from PBE.

abc: 5.324 5.324 5.370
angles: 90.00 90.00 90.00
Atoms (fractional coordinates):
Nb (0.000, 0.000, 0.000)
Ag (0.000, 0.000, 0.500)
Ir (0.500, 0.500, 0.000)
I (0.000, 0.500, 0.500)
I (0.500, 0.000, 0.500)

formation energy without anion corrections = 951 kJ/mol of formula units

---

Record 7
Here is an optimized crystal structure of Nd8AgIr3I4 from Alexandria. Energies are from PBE.

abc: 9.500 9.500 9.500
angles: 53.33 53.33 53.33
Atoms (fractional coordinates):
Nd (0.210, 0.739, 0.739)
Nd (0.228, 0.228, 0.228)
Nd (0.261, 0.261, 0.790)
Nd (0.261, 0.790, 0.261)
Nd (0.739, 0.210, 0.739)
Nd (0.739, 0.739, 0.210)
Nd (0.772, 0.772, 0.772)
Nd (0.790, 0.261, 0.261)
Ag (0.500, 0.500, 0.500)
Ir (0.000, 0.000, 0.500)
Ir (0.000, 0.500, 0.000)
Ir (0.500, 0.000, 0.000)
I (0.000, 0.000, 0.000)
I (0.000, 0.500, 0.500)
I (0.500, 0.000, 0.500)
I (0.500, 0.500, 0.000)

formation energy without anion corrections = -1334 kJ/mol of formula units

---

Record 8
Here is an optimized crystal structure of AgIrIO6 from Alexandria. Energies are from PBE.

abc: 5.321 5.321 10.045
angles: 90.00 90.00 120.00
Atoms (fractional coordinates):
Ag (0.000, 0.000, 0.000)
Ag (0.000, 0.000, 0.500)
Ir (0.333, 0.667, 0.250)
Ir (0.667, 0.333, 0.750)
I (0.333, 0.667, 0.750)
I (0.667, 0.333, 0.250)
O (0.003, 0.370, 0.142)
O (0.003, 0.633, 0.358)
O (0.367, 0.370, 0.358)
O (0.367, 0.997, 0.142)
O (0.370, 0.003, 0.642)
O (0.370, 0.367, 0.858)
O (0.630, 0.633, 0.142)
O (0.630, 0.997, 0.358)
O (0.633, 0.003, 0.858)
O (0.633, 0.630, 0.642)
O (0.997, 0.367, 0.642)
O (0.997, 0.630, 0.858)

formation energy without anion corrections = -323 kJ/mol of formula units

---

Record 9
Here is an optimized crystal structure of Pm6AgIr2I3 from Alexandria. Energies are from PBE.

abc: 7.370 7.370 8.446
angles: 98.36 98.36 120.00
Atoms (fractional coordinates):
Pm (0.079, 0.437, 0.811)
Pm (0.205, 0.205, 0.188)
Pm (0.437, 0.079, 0.811)
Pm (0.563, 0.921, 0.189)
Pm (0.795, 0.795, 0.812)
Pm (0.921, 0.563, 0.189)
Ag (0.500, 0.500, 0.000)
Ir (0.167, 0.833, 0.000)
Ir (0.833, 0.167, 0.000)
I (0.000, 0.000, 0.500)
I (0.335, 0.665, 0.500)
I (0.665, 0.335, 0.500)

formation energy without anion corrections = -979 kJ/mol of formula units

---

Record 10
Here is an optimized crystal structure of Pr4AgIrI2 from Alexandria. Energies are from PBE.

abc: 7.551 4.313 8.548
angles: 90.00 107.03 90.00
Atoms (fractional coordinates):
Pr (0.216, 0.000, 0.189)
Pr (0.240, 0.500, 0.805)
Pr (0.760, 0.500, 0.195)
Pr (0.784, 0.000, 0.811)
Ag (0.500, 0.000, 0.000)
Ir (0.000, 0.500, 0.000)
I (0.000, 0.000, 0.500)
I (0.500, 0.500, 0.500)

formation energy without anion corrections = -574 kJ/mol of formula units